RbCdGaBi2 | PBE | optimized geometry

Computed properties:
space-group type: I-4m2, No. 119
final energy: -0.2043 Ry per atom

Cell lengths 7.8580, 7.8580, 7.8580 Å; angles 143.79, 143.79, 52.14 degrees
Fractional coordinates of all 5 atoms:
1 Rb 0.0000 0.0000 0.0000
2 Cd 0.7500 0.2500 0.5000
3 Ga 0.2500 0.7500 0.5000
4 Bi 0.3731 0.3731 0.0000
5 Bi 0.6269 0.6269 0.0000